# 1
Compound: Th2Te2O
Source: Alexandria
Functional: PBE
Structure: relaxed

The structure in POSCAR format:
```
Th2Te2O
1.0
1.9086 -5.7851 0.0000
1.9086 5.7851 0.0000
0.0000 0.0000 11.8441
Th Te O
4 4 2
direct
0.0688 0.9312 0.5000
0.2171 0.7829 0.7370
0.7829 0.2171 0.2370
0.9312 0.0688 0.0000
0.0668 0.9332 0.2357
0.3445 0.6555 0.4505
0.6555 0.3445 0.9505
0.9332 0.0668 0.7357
0.3542 0.6458 0.1181
0.6458 0.3542 0.6181
```

V	261.5	Å³ per cell
energy relative to the elements, uncorrected	-1.721	eV/atom
symmetry	Cmc2_1
DOS(E_F)	2.4	states/eV/f.u.


# 2
Compound: ThTe2O6
Source: Alexandria
Functional: PBE
Structure: relaxed

The structure in POSCAR format:
```
ThTe2O6
1.0
5.7344 -4.0547 0.0000
5.7344 4.0547 0.0000
-4.1946 0.0000 6.0818
Th Te O
2 4 12
direct
0.1637 0.8363 0.7500
0.8363 0.1637 0.2500
0.2794 0.3660 0.2444
0.3660 0.2794 0.7444
0.6340 0.7206 0.2556
0.7206 0.6340 0.7556
0.1044 0.1538 0.6004
0.1538 0.1044 0.1004
0.1891 0.4284 0.4848
0.2605 0.5724 0.9020
0.4284 0.1891 0.9848
0.4276 0.7395 0.5980
0.5724 0.2605 0.4020
0.5716 0.8109 0.0152
0.7395 0.4276 0.0980
0.8109 0.5716 0.5152
0.8462 0.8956 0.8996
0.8956 0.8462 0.3996
```

V	282.8	Å³ per cell
energy relative to the elements, uncorrected	-1.945	eV/atom
symmetry	C2/c
DOS(E_F)	0.0	states/eV/f.u.
offset from the most stable computed form	52	meV/atom


Q: Look up the energy relative to the elements, uncorrected of the first one.
A: -1.721 eV/atom


Q: Which of these has the highest V?
A: ThTe2O6


Q: Look up the DOS(E_F) of the second one.
A: 0.0 states/eV/f.u.


Q: Among the records above, which one has the lowest V?
A: Th2Te2O